No. 1
First-principles (PBE) data for an optimized crystal structure of Zr2Ni3P3, as listed in Alexandria via LeMat-Bulk.

Cell: 12.3793 3.6386 10.0510 Å, 90.00 90.00 90.00°
Closest atoms and distances in Å follow each position.
Space group Pnma (No. 62)
Unique sites:
Zr 0.0046 0.2500 0.1628 x4  6 P 2.62-2.74, 3 Ni 2.77-2.92
Zr 0.2092 0.7500 0.5746 x4  6 P 2.72-2.87, 5 Ni 2.92-3.00
Ni 0.0167 0.2500 0.5957 x4  4 P 2.25-2.34
Ni 0.1654 0.7500 0.2747 x4  4 P 2.26-2.35, 2 Ni 2.50
Ni 0.2179 0.7500 0.8652 x4  4 P 2.20-2.27
P 0.1016 0.2500 0.3975 x4  6 Ni 2.25-2.34
P 0.1284 0.7500 0.0544 x4  2 Ni 2.20-2.26
P 0.1453 0.2500 0.7635 x4  4 Ni 2.27-2.35

## Properties
Raw total energy   -7.38 eV/atom
Formation enthalpy at 0 K   -1.048 eV per atom



No. 2
First-principles (PBE) data for an optimized crystal structure of CaFeCo2H, as listed in Alexandria via LeMat-Bulk.

Cell: 3.8110 3.8110 4.1679 Å, 90.00 90.00 90.00°
Closest atoms and distances in Å follow each position.
Space group P4/mmm (No. 123)
Unique sites:
Ca 0.0000 0.0000 0.0000 x1  2 H 2.08
Fe 0.5000 0.5000 0.0000 x1  4 Ca 2.69, 8 Co 2.82
Co 0.0000 0.5000 0.5000 x2  2 H 1.91
H 0.0000 0.0000 0.5000 x1  4 Co 1.91, 2 Ca 2.08

## Properties
Raw total energy   -5.19 eV/atom



No. 3
First-principles (PBE) data for an optimized crystal structure of NdHo2ErSe4, as listed in Alexandria via LeMat-Bulk.

Cell: 7.0735 4.0346 7.1935 Å, 90.00 108.70 90.00°
Closest atoms and distances in Å follow each position.
Space group P2/m (No. 10)
Unique sites:
Nd 0.0000 0.0000 0.0000 x1  6 Se 2.96
Ho 0.5000 0.0000 0.5000 x1  6 Se 2.83-2.84
Ho 0.5000 0.5000 0.0000 x1  6 Se 2.91
Er 0.0000 0.5000 0.5000 x1  6 Se 2.89
Se 0.2536 0.0000 0.7432 x2  3 Ho 2.84-2.91, 2 Er 2.89, 1 Nd 2.96
Se 0.2599 0.5000 0.2614 x2  3 Ho 2.83-2.91, 1 Er 2.89, 2 Nd 2.96

## Properties
Raw total energy   -5.79 eV/atom
Uncorrected formation energy   -1.7372 eV per atom